PBE MoPbAu2, optimized geometry; DFT formation energy = 0.3969 eV/atom; space-group type = No. 12
1.0
5.7472 0.0000 0.0000
0.0000 8.7752 0.0000
-0.0108 0.0000 3.0770
Mo Pb Au
2 2 4
Cartesian
0.0000 0.0000 0.0000 Mo
2.8736 4.3876 0.0000 Mo
0.0000 4.3876 0.0000 Pb
2.8736 0.0000 0.0000 Pb
1.4314 2.1938 1.5385 Au
1.4314 6.5814 1.5385 Au
4.3050 2.1938 1.5385 Au
4.3050 6.5814 1.5385 Au

PBE Sc8CoPt2, optimized geometry; DFT formation energy = -0.4745 eV/atom; space-group type = No. 8
1.0
3.7089 -6.6587 0.0000
3.7089 6.6587 0.0000
-2.2374 0.0000 4.6344
Sc Co Pt
8 1 2
Cartesian
0.0000 0.0000 0.0000 Sc
-0.3870 1.5853 2.6368 Sc
2.1011 2.6460 0.9357 Sc
-0.3870 -1.5853 2.6368 Sc
2.4020 1.5646 3.8545 Sc
2.1011 -2.6460 0.9357 Sc
2.4020 -1.5646 3.8545 Sc
4.2801 0.0000 1.8917 Sc
2.0974 0.0000 1.0405 Co
1.0281 3.9267 3.3138 Pt
1.0281 -3.9267 3.3138 Pt

PBE RhSeBr2, optimized geometry; formation energy (no corrections) = 0.07 eV per atom; relative energy among the computed polymorphs = 125 kJ/mol of formula units; space-group type = No. 99
1.0
3.6569 0.0000 0.0000
0.0000 3.6569 0.0000
0.0000 0.0000 7.6356
Rh Se Br
1 1 2
Cartesian
0.0000 0.0000 0.0000 Rh
1.8285 1.8285 7.4752 Se
0.0000 0.0000 2.4404 Br
1.8285 1.8285 5.0662 Br

PBE AlNi3, optimized geometry; DFT formation energy = -0.3819 eV/atom; space-group type = No. 225
1.0
5.6682 0.0000 0.0000
0.0000 5.6682 0.0000
0.0000 0.0000 5.6682
Al Ni
4 12
Cartesian
0.0000 0.0000 0.0000 Al
0.0000 2.8341 2.8341 Al
2.8341 0.0000 2.8341 Al
2.8341 2.8341 0.0000 Al
0.0000 0.0000 2.8341 Ni
0.0000 2.8341 0.0000 Ni
1.4170 1.4170 1.4170 Ni
1.4170 1.4170 4.2511 Ni
1.4170 4.2511 1.4170 Ni
1.4170 4.2511 4.2511 Ni
2.8341 0.0000 0.0000 Ni
2.8341 2.8341 2.8341 Ni
4.2511 1.4170 1.4170 Ni
4.2511 1.4170 4.2511 Ni
4.2511 4.2511 1.4170 Ni
4.2511 4.2511 4.2511 Ni